MgSb2 | PBE | relaxed

Computed properties:
Uncorrected energy   -10.00 eV/cell
Space group   Fm-3m
Energy relative to the elements, uncorrected   -0.05 eV per atom

Cell: 4.9442 4.9442 4.9442 Å, 60.00 60.00 60.00°
Closest atoms and distances in Å follow each position.
Element x y z (fractional)
Sb (0.7500, 0.7500, 0.7500)  4 Mg 3.03
Sb (0.2500, 0.2500, 0.2500)  4 Mg 3.03
Mg (0.0000, 0.0000, 0.0000)  8 Sb 3.03